Density functional theory data (PBE) for a geometry-optimized Dy3GeSe structure.

Cell and atoms, written as POSCAR:
```
Dy3GeSe
1.0
7.1982 -0.4377 -0.3431
0.3662 8.8120 -0.0919
0.3662 2.0155 8.5789
Dy Se Ge
12 4 4
direct
0.4201 0.4529 0.3386
0.5576 0.1279 0.6488
0.9201 0.3386 0.4529
0.0576 0.6488 0.1279
0.4307 0.2299 0.0084
0.0693 0.9916 0.7701
0.5799 0.5471 0.6614
0.4424 0.8721 0.3512
0.0799 0.6614 0.5471
0.5693 0.7701 0.9916
0.9424 0.3512 0.8721
0.9307 0.0084 0.2299
0.1127 0.3209 0.1726
0.3873 0.8274 0.6791
0.8873 0.6791 0.8274
0.6127 0.1726 0.3209
0.2500 0.9363 0.0637
0.7500 0.6670 0.3330
0.2500 0.3330 0.6670
0.7500 0.0637 0.9363
```

Output
SG ... C2/c (15)
Total magnetic moment ... 0.00 μB/cell
Formation energy from raw total energies ... -986 meV/atom
Density ... 7.8 Mg/m³
V ... 547.7 Å³ per cell
Raw total energy ... -107.35 eV/cell
Fermi-level density of states ... 3.66 states/eV/f.u.